Density functional theory data (PBE) for crystalline RbBaCdAs at its relaxed geometry.

Cell and atoms, written as POSCAR:
```
RbBaCdAs
1.0
0.000 4.134 4.134
4.134 0.000 4.134
4.134 4.134 0.000
Rb Ba Cd As
1 1 1 1
Direct
0.000 0.000 0.000 Rb
0.500 0.500 0.500 Ba
0.750 0.750 0.750 Cd
0.250 0.250 0.250 As
```

Computed properties:
- total DFT energy (no corrections) (Ry per atom) = -0.1871
- DFT formation energy (eV/atom) = -0.432
- space group = F-43m, No. 216
- calculated volume (Å³ per cell) = 141.26

Density functional theory data (PBE) for crystalline Pr3Nd2Cd2 at its relaxed geometry.

Cell and atoms, written as POSCAR:
```
Pr3Nd2Cd2
1.0
4.860 -2.803 0.000
4.860 2.803 0.000
-3.225 0.000 8.243
Pr Nd Cd
3 2 2
Direct
0.000 0.000 0.000 Pr
0.158 0.158 0.475 Pr
0.842 0.842 0.525 Pr
0.425 0.425 0.276 Nd
0.575 0.575 0.724 Nd
0.289 0.289 0.868 Cd
0.711 0.711 0.132 Cd
```

Computed properties:
- total DFT energy (no corrections) (Ry per atom) = -0.2810
- DFT formation energy (eV/atom) = -0.152
- space group = C2/m, No. 12
- calculated volume (Å³ per cell) = 224.55

Density functional theory data (PBE) for crystalline CdRe2Si2 at its relaxed geometry.

Cell and atoms, written as POSCAR:
```
CdRe2Si2
1.0
7.244 0.000 0.000
0.000 7.244 0.000
0.000 0.000 2.932
Cd Re Si
2 4 4
Direct
0.000 0.000 0.000 Cd
0.500 0.500 0.000 Cd
0.143 0.357 0.000 Re
0.357 0.857 0.000 Re
0.643 0.143 0.000 Re
0.857 0.643 0.000 Re
0.147 0.647 0.500 Si
0.353 0.147 0.500 Si
0.647 0.853 0.500 Si
0.853 0.353 0.500 Si
```

Computed properties:
- total DFT energy (no corrections) (Ry per atom) = -0.5324
- E_form (uncorrected) (meV/atom) = 88
- space group = P4/mbm, No. 127
- calculated volume (Å³ per cell) = 153.86

Density functional theory data (PBE) for crystalline EuTcC at its relaxed geometry.

Cell and atoms, written as POSCAR:
```
EuTcC
1.0
3.530 0.000 0.000
-1.765 3.057 0.000
0.000 0.000 4.732
Eu Tc C
1 1 1
Direct
0.000 0.000 0.000 Eu
0.667 0.333 0.500 Tc
0.333 0.667 0.500 C
```

Computed properties:
- total DFT energy (no corrections) (Ry per atom) = -0.7205
- DFT formation energy (eV/atom) = 0.152
- space group = P-6m2, No. 187
- calculated volume (Å³ per cell) = 51.08

Density functional theory data (PBE) for crystalline ReSbPb at its relaxed geometry.

Cell and atoms, written as POSCAR:
```
ReSbPb
1.0
0.000 2.622 7.866
1.740 0.000 7.866
1.740 2.622 0.000
Re Sb Pb
1 1 1
Direct
0.000 0.000 0.000 Re
0.629 0.629 0.371 Sb
0.350 0.350 0.650 Pb
```

Computed properties:
- total DFT energy (no corrections) (Ry per atom) = -0.4432
- E_form (uncorrected) (meV/atom) = 730
- space group = Fmm2, No. 42
- calculated volume (Å³ per cell) = 71.78

Density functional theory data (PBE) for crystalline SrIr4Pb at its relaxed geometry.

Cell and atoms, written as POSCAR:
```
SrIr4Pb
1.0
0.000 3.850 3.850
3.850 0.000 3.850
3.850 3.850 0.000
Sr Ir Pb
1 4 1
Direct
0.000 0.000 0.000 Sr
0.126 0.625 0.625 Ir
0.625 0.126 0.625 Ir
0.625 0.625 0.126 Ir
0.625 0.625 0.625 Ir
0.250 0.250 0.250 Pb
```

Computed properties:
- total DFT energy (no corrections) (Ry per atom) = -0.4974
- DFT formation energy (eV/atom) = 0.038
- space group = F-43m, No. 216
- calculated volume (Å³ per cell) = 114.14

Density functional theory data (PBE) for crystalline RbZr2Tl2 at its relaxed geometry.

Cell and atoms, written as POSCAR:
```
RbZr2Tl2
1.0
9.314 0.000 0.000
0.000 9.314 0.000
0.000 0.000 3.171
Rb Zr Tl
2 4 4
Direct
0.000 0.000 0.000 Rb
0.500 0.500 0.000 Rb
0.118 0.382 0.000 Zr
0.382 0.882 0.000 Zr
0.618 0.118 0.000 Zr
0.882 0.618 0.000 Zr
0.176 0.676 0.500 Tl
0.324 0.176 0.500 Tl
0.676 0.824 0.500 Tl
0.824 0.324 0.500 Tl
```

Computed properties:
- total DFT energy (no corrections) (Ry per atom) = -0.3223
- DFT formation energy (eV/atom) = 0.174
- space group = P4/mbm, No. 127
- calculated volume (Å³ per cell) = 275.08

Density functional theory data (PBE) for crystalline Ti2IrPt at its relaxed geometry.

Cell and atoms, written as POSCAR:
```
Ti2IrPt
1.0
-3.480 3.480 2.769
3.480 -3.480 2.769
3.480 3.480 -2.769
Ti Ir Pt
4 2 2
Direct
0.116 0.625 0.991 Ti
0.375 0.366 0.491 Ti
0.634 0.125 0.009 Ti
0.875 0.884 0.509 Ti
0.000 0.000 0.000 Ir
0.750 0.250 0.500 Ir
0.250 0.750 0.500 Pt
0.500 0.500 0.000 Pt
```

Computed properties:
- total DFT energy (no corrections) (Ry per atom) = -0.5926
- DFT formation energy (eV/atom) = -0.390
- space group = I-42d, No. 122
- calculated volume (Å³ per cell) = 134.12